(1)
# Cu3Ag2

Crystalline Cu3Ag2 at its relaxed geometry (PBE, OQMD via LeMat-Bulk).

Calculated values
Crystal system   monoclinic
ΔE to the lowest computed polymorph   55 meV/atom
Formation energy from the elements   0.097 eV/atom
Space group   No. 8

Structure (POSCAR):
```
Cu3Ag2
1.0
4.561 -1.398 0.000
4.561 1.398 0.000
-1.776 0.000 11.231
Ag Cu
4 6
Direct
0.596 0.596 0.208 Ag
0.305 0.305 0.091 Ag
0.502 0.502 0.493 Ag
0.097 0.097 0.708 Ag
0.887 0.887 0.301 Cu
0.213 0.213 0.409 Cu
0.703 0.703 0.899 Cu
0.801 0.801 0.605 Cu
0.006 0.006 0.982 Cu
0.390 0.390 0.804 Cu
```

=====

(2)
# CuAg

Crystalline CuAg at its relaxed geometry (PBE, OQMD via LeMat-Bulk).

Calculated values
Crystal system   triclinic
Formation energy from the elements   0.101 eV/atom
Space group   No. 1

Structure (POSCAR):
```
CuAg
1.0
4.772 0.000 0.000
0.714 4.765 0.000
2.339 2.035 6.575
Ag Cu
5 5
Direct
0.988 0.196 0.607 Ag
0.993 0.795 0.396 Ag
0.013 0.591 0.808 Ag
0.501 0.708 0.090 Ag
0.504 0.111 0.298 Ag
0.493 0.903 0.703 Cu
0.009 0.006 0.998 Cu
0.494 0.297 0.895 Cu
0.503 0.492 0.509 Cu
0.002 0.401 0.196 Cu
```

=====

(3)
# CuAg2

Crystalline CuAg2 at its relaxed geometry (PBE, OQMD via LeMat-Bulk).

Calculated values
Crystal system   tetragonal
ΔE to the lowest computed polymorph   36 meV/atom
Formation energy from the elements   0.067 eV/atom
Space group   No. 139

Structure (POSCAR):
```
CuAg2
1.0
9.646 -3.111 14.308
6.925 -0.688 16.094
-9.441 0.287 -14.773
Cu Ag
3 6
Direct
0.500 0.500 0.000 Cu
0.605 0.605 0.000 Cu
0.395 0.395 0.000 Cu
0.719 0.719 0.000 Ag
0.053 0.053 0.000 Ag
0.281 0.281 0.000 Ag
0.842 0.842 0.000 Ag
0.158 0.158 0.000 Ag
0.947 0.947 0.000 Ag
```

=====

(4)
# Cu3Ag7

Crystalline Cu3Ag7 at its relaxed geometry (PBE, OQMD via LeMat-Bulk).

Calculated values
Crystal system   monoclinic
ΔE to the lowest computed polymorph   54 meV/atom
Formation energy from the elements   0.083 eV/atom
Space group   No. 12

Structure (POSCAR):
```
Cu3Ag7
1.0
-7.394 1.276 -0.284
5.238 -4.793 -2.442
0.124 -1.421 4.725
Ag Cu
7 3
Direct
0.396 0.604 0.000 Ag
0.000 0.000 0.000 Ag
0.300 0.700 0.500 Ag
0.604 0.396 0.000 Ag
0.100 0.900 0.500 Ag
0.900 0.100 0.500 Ag
0.700 0.300 0.500 Ag
0.500 0.500 0.500 Cu
0.797 0.203 0.000 Cu
0.203 0.797 0.000 Cu
```

=====

(5)
# CuAg

Crystalline CuAg at its relaxed geometry (PBE, OQMD via LeMat-Bulk).

Calculated values
Crystal system   orthorhombic
Formation energy from the elements   0.094 eV/atom
Space group   No. 65

Structure (POSCAR):
```
CuAg
1.0
-2.553 6.638 3.939
-2.809 -7.173 -2.598
0.724 -1.164 2.430
Ag Cu
4 4
Direct
0.759 0.759 0.500 Ag
0.366 0.634 0.000 Ag
0.634 0.366 0.000 Ag
0.241 0.241 0.500 Ag
0.500 0.000 0.500 Cu
0.138 0.862 0.000 Cu
0.000 0.500 0.500 Cu
0.862 0.138 0.000 Cu
```

=====

(6)
# Cu3Ag2

Crystalline Cu3Ag2 at its relaxed geometry (PBE, OQMD via LeMat-Bulk).

Calculated values
Crystal system   orthorhombic
ΔE to the lowest computed polymorph   39 meV/atom
Formation energy from the elements   0.081 eV/atom
Space group   No. 25

Structure (POSCAR):
```
Cu3Ag2
1.0
-1.837 0.748 -1.910
-0.140 -3.470 -1.224
-10.438 -2.741 8.968
Ag Cu
4 6
Direct
0.500 0.000 0.197 Ag
0.000 0.500 0.078 Ag
0.000 0.500 0.317 Ag
0.500 0.000 0.609 Ag
0.500 0.000 0.420 Cu
0.000 0.500 0.887 Cu
0.500 0.000 0.975 Cu
0.500 0.000 0.799 Cu
0.000 0.500 0.507 Cu
0.000 0.500 0.711 Cu
```

=====

(7)
# CuAg

Crystalline CuAg at its relaxed geometry (PBE, OQMD via LeMat-Bulk).

Calculated values
Crystal system   monoclinic
Formation energy from the elements   0.057 eV/atom
Space group   No. 12

Structure (POSCAR):
```
CuAg
1.0
-2.475 4.126 -0.099
-4.441 1.168 -1.439
-8.262 -8.168 30.165
Ag Cu
18 18
Direct
0.391 0.391 0.145 Ag
0.609 0.609 0.855 Ag
0.372 0.372 0.727 Ag
0.773 0.773 0.081 Ag
0.082 0.082 0.113 Ag
0.700 0.700 0.177 Ag
0.155 0.155 0.016 Ag
0.918 0.918 0.887 Ag
0.464 0.464 0.048 Ag
0.300 0.300 0.823 Ag
0.227 0.227 0.919 Ag
0.991 0.991 0.791 Ag
0.321 0.321 0.243 Ag
0.536 0.536 0.952 Ag
0.628 0.628 0.273 Ag
0.009 0.009 0.209 Ag
0.679 0.679 0.757 Ag
0.845 0.845 0.984 Ag
0.754 0.754 0.675 Cu
0.442 0.442 0.418 Cu
0.857 0.857 0.605 Cu
0.349 0.349 0.488 Cu
0.843 0.843 0.372 Cu
0.651 0.651 0.512 Cu
0.047 0.047 0.465 Cu
0.157 0.157 0.628 Cu
0.246 0.246 0.325 Cu
0.063 0.063 0.699 Cu
0.744 0.744 0.442 Cu
0.937 0.937 0.301 Cu
0.459 0.459 0.651 Cu
0.541 0.541 0.349 Cu
0.953 0.953 0.535 Cu
0.558 0.558 0.582 Cu
0.256 0.256 0.558 Cu
0.143 0.143 0.395 Cu
```

=====

(8)
# Cu3Ag7

Crystalline Cu3Ag7 at its relaxed geometry (PBE, OQMD via LeMat-Bulk).

Calculated values
Crystal system   tetragonal
ΔE to the lowest computed polymorph   32 meV/atom
Formation energy from the elements   0.061 eV/atom
Space group   No. 99

Structure (POSCAR):
```
Cu3Ag7
1.0
2.868 0.000 0.000
0.000 2.868 0.000
0.000 0.000 19.523
Cu Ag
3 7
Direct
0.000 0.000 0.991 Cu
0.000 0.000 0.803 Cu
0.500 0.500 0.506 Cu
0.000 0.000 0.413 Ag
0.000 0.000 0.194 Ag
0.500 0.500 0.897 Ag
0.500 0.500 0.709 Ag
0.500 0.500 0.084 Ag
0.000 0.000 0.599 Ag
0.500 0.500 0.303 Ag
```

=====

(9)
# Cu3Ag2

Crystalline Cu3Ag2 at its relaxed geometry (PBE, OQMD via LeMat-Bulk).

Calculated values
Crystal system   monoclinic
ΔE to the lowest computed polymorph   67 meV/atom
Formation energy from the elements   0.109 eV/atom
Space group   No. 5

Structure (POSCAR):
```
Cu3Ag2
1.0
-2.244 6.703 1.446
-1.390 -5.627 -4.297
-1.597 -1.970 3.992
Ag Cu
4 6
Direct
0.303 0.697 0.500 Ag
0.096 0.904 0.500 Ag
0.502 0.498 0.500 Ag
0.200 0.800 0.000 Ag
0.804 0.196 0.000 Cu
0.405 0.595 0.000 Cu
0.990 0.010 0.000 Cu
0.601 0.399 0.000 Cu
0.895 0.105 0.500 Cu
0.705 0.295 0.500 Cu
```

=====

(10)
# Cu3Ag5

Crystalline Cu3Ag5 at its relaxed geometry (PBE, OQMD via LeMat-Bulk).

Calculated values
Crystal system   tetragonal
ΔE to the lowest computed polymorph   49 meV/atom
Formation energy from the elements   0.086 eV/atom
Space group   No. 123

Structure (POSCAR):
```
Cu3Ag5
1.0
-2.773 2.801 0.695
-2.676 -2.136 -2.073
-2.114 -3.723 6.566
Ag Cu
5 3
Direct
0.000 0.500 0.238 Ag
0.500 0.500 0.500 Ag
0.500 0.000 0.762 Ag
0.000 0.500 0.762 Ag
0.500 0.000 0.238 Ag
0.000 0.000 0.000 Cu
0.000 0.000 0.500 Cu
0.500 0.500 0.000 Cu
```

=====

(11)
# CuAg

Crystalline CuAg at its relaxed geometry (PBE, OQMD via LeMat-Bulk).

Calculated values
Crystal system   orthorhombic
Formation energy from the elements   0.094 eV/atom
Space group   No. 25

Structure (POSCAR):
```
CuAg
1.0
-1.997 1.160 -1.628
-2.500 -0.527 2.691
2.460 10.276 4.300
Ag Cu
4 4
Direct
0.500 0.000 0.256 Ag
0.000 0.500 0.111 Ag
0.500 0.000 0.754 Ag
0.500 0.000 0.505 Ag
0.000 0.500 0.382 Cu
0.000 0.500 0.629 Cu
0.000 0.500 0.878 Cu
0.500 0.000 0.986 Cu
```

=====

(12)
# Cu3Ag7

Crystalline Cu3Ag7 at its relaxed geometry (PBE, OQMD via LeMat-Bulk).

Calculated values
Crystal system   monoclinic
ΔE to the lowest computed polymorph   47 meV/atom
Formation energy from the elements   0.076 eV/atom
Space group   No. 12

Structure (POSCAR):
```
Cu3Ag7
1.0
-7.776 -3.142 -5.302
-5.673 -3.851 -7.172
1.055 -4.836 3.018
Ag Cu
7 3
Direct
0.696 0.696 0.089 Ag
0.304 0.304 0.911 Ag
0.694 0.694 0.602 Ag
0.500 0.500 0.500 Ag
0.306 0.306 0.398 Ag
0.094 0.094 0.282 Ag
0.906 0.906 0.718 Ag
0.500 0.500 0.000 Cu
0.908 0.908 0.194 Cu
0.092 0.092 0.806 Cu
```

=====

(13)
# CuAg

Crystalline CuAg at its relaxed geometry (PBE, OQMD via LeMat-Bulk).

Calculated values
Crystal system   monoclinic
Formation energy from the elements   0.091 eV/atom
Space group   No. 8

Structure (POSCAR):
```
CuAg
1.0
5.852 -1.395 0.000
5.852 1.395 0.000
-1.701 0.000 9.059
Cu Ag
5 5
Direct
0.793 0.793 0.389 Cu
0.106 0.106 0.308 Cu
0.991 0.991 0.991 Cu
0.900 0.900 0.715 Cu
0.308 0.308 0.898 Cu
0.408 0.408 0.197 Ag
0.211 0.211 0.596 Ag
0.693 0.693 0.100 Ag
0.489 0.489 0.502 Ag
0.601 0.601 0.803 Ag
```

=====

(14)
# Cu5Ag3

Crystalline Cu5Ag3 at its relaxed geometry (PBE, OQMD via LeMat-Bulk).

Calculated values
Crystal system   triclinic
ΔE to the lowest computed polymorph   49 meV/atom
Formation energy from the elements   0.096 eV/atom
Space group   No. 1

Structure (POSCAR):
```
Cu5Ag3
1.0
4.689 0.000 0.000
1.624 9.233 0.000
1.510 0.549 10.350
Cu Ag
20 12
Direct
0.798 0.390 0.687 Cu
0.135 0.740 0.867 Cu
0.880 0.746 0.134 Cu
0.041 0.388 0.448 Cu
0.681 0.624 0.803 Cu
0.504 0.507 0.509 Cu
0.316 0.870 0.194 Cu
0.304 0.373 0.178 Cu
0.361 0.272 0.624 Cu
0.381 0.737 0.623 Cu
0.552 0.381 0.932 Cu
0.850 0.256 0.119 Cu
0.434 0.133 0.061 Cu
0.026 0.997 0.007 Cu
0.766 0.500 0.251 Cu
0.936 0.624 0.568 Cu
0.078 0.863 0.443 Cu
0.831 0.854 0.684 Cu
0.634 0.739 0.379 Cu
0.247 0.507 0.744 Cu
0.254 0.983 0.752 Ag
0.991 0.504 0.996 Ag
0.432 0.626 0.065 Ag
0.515 0.989 0.500 Ag
0.682 0.128 0.812 Ag
0.940 0.134 0.563 Ag
0.598 0.270 0.374 Ag
0.594 0.871 0.944 Ag
0.175 0.131 0.304 Ag
0.752 0.992 0.243 Ag
0.116 0.254 0.872 Ag
0.196 0.618 0.321 Ag
```

=====

(15)
# CuAg

Crystalline CuAg at its relaxed geometry (PBE, OQMD via LeMat-Bulk).

Calculated values
Crystal system   trigonal
Formation energy from the elements   0.104 eV/atom
Space group   No. 160

Structure (POSCAR):
```
CuAg
1.0
1.415 0.817 21.759
-1.415 0.817 21.759
0.000 -1.634 21.759
Cu Ag
5 5
Direct
0.802 0.802 0.802 Cu
0.202 0.202 0.202 Cu
0.994 0.994 0.994 Cu
0.603 0.603 0.603 Cu
0.298 0.298 0.298 Cu
0.502 0.502 0.502 Ag
0.902 0.902 0.902 Ag
0.103 0.103 0.103 Ag
0.694 0.694 0.694 Ag
0.398 0.398 0.398 Ag
```

=====

(16)
# Cu3Ag2

Crystalline Cu3Ag2 at its relaxed geometry (PBE, OQMD via LeMat-Bulk).

Calculated values
Crystal system   monoclinic
ΔE to the lowest computed polymorph   41 meV/atom
Formation energy from the elements   0.083 eV/atom
Space group   No. 8

Structure (POSCAR):
```
Cu3Ag2
1.0
-1.946 3.271 -4.166
-2.392 0.632 -5.071
-7.910 -0.356 4.941
Ag Cu
4 6
Direct
0.413 0.413 0.186 Ag
0.804 0.804 0.406 Ag
0.902 0.902 0.698 Ag
0.683 0.683 0.100 Ag
0.514 0.514 0.505 Cu
0.608 0.608 0.802 Cu
0.100 0.100 0.322 Cu
0.294 0.294 0.898 Cu
0.192 0.192 0.612 Cu
0.991 0.991 0.971 Cu
```

=====

(17)
# Cu6Ag

Crystalline Cu6Ag at its relaxed geometry (PBE, OQMD via LeMat-Bulk).

Calculated values
Crystal system   monoclinic
ΔE to the lowest computed polymorph   8 meV/atom
Formation energy from the elements   0.054 eV/atom
Space group   No. 12

Structure (POSCAR):
```
Cu6Ag
1.0
0.541 3.671 2.598
-2.480 1.702 3.387
3.243 -3.695 3.195
Ag Cu
1 6
Direct
0.000 0.000 0.000 Ag
0.855 0.855 0.563 Cu
0.145 0.145 0.437 Cu
0.717 0.717 0.152 Cu
0.283 0.283 0.848 Cu
0.574 0.574 0.703 Cu
0.426 0.426 0.297 Cu
```

=====

(18)
# Cu3Ag4

Crystalline Cu3Ag4 at its relaxed geometry (PBE, OQMD via LeMat-Bulk).

Calculated values
Crystal system   monoclinic
ΔE to the lowest computed polymorph   34 meV/atom
Formation energy from the elements   0.076 eV/atom
Space group   No. 8

Structure (POSCAR):
```
Cu3Ag4
1.0
4.773 -1.431 0.000
4.773 1.431 0.000
-0.082 0.000 7.863
Ag Cu
4 3
Direct
0.587 0.587 0.253 Ag
0.707 0.707 0.881 Ag
0.132 0.132 0.580 Ag
0.861 0.861 0.431 Ag
0.311 0.311 0.143 Cu
0.419 0.419 0.728 Cu
0.983 0.983 0.983 Cu
```

=====

(19)
# Cu5Ag3

Crystalline Cu5Ag3 at its relaxed geometry (PBE, OQMD via LeMat-Bulk).

Calculated values
Crystal system   tetragonal
ΔE to the lowest computed polymorph   58 meV/atom
Formation energy from the elements   0.105 eV/atom
Space group   No. 139

Structure (POSCAR):
```
Cu5Ag3
1.0
-3.880 1.289 3.561
-3.579 -0.014 -4.073
3.044 -4.401 0.871
Cu Ag
5 3
Direct
0.000 0.000 0.000 Cu
0.500 0.500 0.500 Cu
0.000 0.500 0.000 Cu
0.000 0.000 0.500 Cu
0.500 0.000 0.000 Cu
0.500 0.000 0.500 Ag
0.500 0.500 0.000 Ag
0.000 0.500 0.500 Ag
```

=====

(20)
# Cu3Ag7

Crystalline Cu3Ag7 at its relaxed geometry (PBE, OQMD via LeMat-Bulk).

Calculated values
Crystal system   orthorhombic
ΔE to the lowest computed polymorph   28 meV/atom
Formation energy from the elements   0.056 eV/atom
Space group   No. 38

Structure (POSCAR):
```
Cu3Ag7
1.0
-3.548 1.891 -0.527
-0.389 2.022 9.884
1.560 5.285 8.460
Ag Cu
7 3
Direct
0.000 0.808 0.808 Ag
0.500 0.308 0.308 Ag
0.000 0.409 0.409 Ag
0.500 0.698 0.698 Ag
0.000 0.589 0.589 Ag
0.500 0.089 0.089 Ag
0.000 0.198 0.198 Ag
0.000 0.995 0.995 Cu
0.500 0.495 0.495 Cu
0.500 0.911 0.911 Cu
```